(1)
Below is MnHg2S after structural relaxation, with properties calculated at the PBE level.

Geometry as CIF:
```
data_MnHg2S
_chemical_formula_sum 'Mn4 Hg8 S4'
_space_group_name_H-M_alt 'F m -3 m'
_space_group_IT_number 225
_space_group_name_Hall '-F 4 2 3'
_cell_length_a 6.9578
_cell_length_b 6.9578
_cell_length_c 6.9578
_cell_angle_alpha 90.00
_cell_angle_beta 90.00
_cell_angle_gamma 90.00
loop_
_atom_site_label
_atom_site_type_symbol
_atom_site_fract_x
_atom_site_fract_y
_atom_site_fract_z
_atom_site_occupancy
Mn1 Mn 0.0000 0.0000 0.0000 1
Hg1 Hg 0.2500 0.2500 0.2500 1
S1 S 0.0000 0.0000 0.5000 1
```

Computed properties:
Uncorrected formation energy = 0.494 eV per atom

(2)
Below is Y2Hg2Bi after structural relaxation, with properties calculated at the PBE level.

Geometry as CIF:
```
data_Y2Hg2Bi
_chemical_formula_sum 'Y4 Hg4 Bi2'
_space_group_name_H-M_alt 'I 4/m m m'
_space_group_IT_number 139
_space_group_name_Hall '-I 4 2'
_cell_length_a 4.1066
_cell_length_b 4.1066
_cell_length_c 17.1545
_cell_angle_alpha 90.00
_cell_angle_beta 90.00
_cell_angle_gamma 90.00
loop_
_atom_site_label
_atom_site_type_symbol
_atom_site_fract_x
_atom_site_fract_y
_atom_site_fract_z
_atom_site_occupancy
Y1 Y 0.0000 0.0000 0.1027 1
Hg1 Hg 0.0000 0.5000 0.2500 1
Bi1 Bi 0.0000 0.0000 0.5000 1
```

Computed properties:
Calculated formation energy = -0.328 eV/atom

(3)
Below is Rb2TcBr5 after structural relaxation, with properties calculated at the PBE level.

Geometry as CIF:
```
data_Rb2TcBr5
_chemical_formula_sum 'Rb4 Tc2 Br10'
_space_group_name_H-M_alt 'I 4 m m'
_space_group_IT_number 107
_space_group_name_Hall 'I 4 -2'
_cell_length_a 7.8430
_cell_length_b 7.8430
_cell_length_c 10.1500
_cell_angle_alpha 90.00
_cell_angle_beta 90.00
_cell_angle_gamma 90.00
loop_
_atom_site_label
_atom_site_type_symbol
_atom_site_fract_x
_atom_site_fract_y
_atom_site_fract_z
_atom_site_occupancy
Rb1 Rb 0.0000 0.5000 0.0000 1
Tc1 Tc 0.0000 0.0000 0.2760 1
Br1 Br 0.0000 0.0000 0.5333 1
Br2 Br 0.2275 0.2275 0.2435 1
```

Computed properties:
Uncorrected formation energy = -0.999 eV per atom

(4)
Below is Pr3SmCd2 after structural relaxation, with properties calculated at the PBE level.

Geometry as CIF:
```
data_Pr3SmCd2
_chemical_formula_sum 'Pr3 Sm1 Cd2'
_space_group_name_H-M_alt 'P 4/m m m'
_space_group_IT_number 123
_space_group_name_Hall '-P 4 2'
_cell_length_a 3.8049
_cell_length_b 3.8049
_cell_length_c 12.9938
_cell_angle_alpha 90.00
_cell_angle_beta 90.00
_cell_angle_gamma 90.00
loop_
_atom_site_label
_atom_site_type_symbol
_atom_site_fract_x
_atom_site_fract_y
_atom_site_fract_z
_atom_site_occupancy
Pr1 Pr 0.0000 0.0000 0.0000 1
Pr2 Pr 0.0000 0.0000 0.3068 1
Sm1 Sm 0.5000 0.5000 0.5000 1
Cd1 Cd 0.5000 0.5000 0.1547 1
```

Computed properties:
Calculated formation energy = -0.199 eV/atom

(5)
Below is CaGa2Ir after structural relaxation, with properties calculated at the PBE level.

Geometry as CIF:
```
data_CaGa2Ir
_chemical_formula_sum 'Ca4 Ga8 Ir4'
_space_group_name_H-M_alt 'I -4 2 d'
_space_group_IT_number 122
_space_group_name_Hall 'I -4 2bw'
_cell_length_a 4.9610
_cell_length_b 4.9610
_cell_length_c 16.3598
_cell_angle_alpha 90.00
_cell_angle_beta 90.00
_cell_angle_gamma 90.00
loop_
_atom_site_label
_atom_site_type_symbol
_atom_site_fract_x
_atom_site_fract_y
_atom_site_fract_z
_atom_site_occupancy
Ca1 Ca 0.0000 0.0000 0.0000 1
Ga1 Ga 0.0509 0.2500 0.6250 1
Ir1 Ir 0.0000 0.0000 0.5000 1
```

Computed properties:
Calculated formation energy = -0.246 eV/atom

(6)
Below is Nb2TcSe2 after structural relaxation, with properties calculated at the PBE level.

Geometry as CIF:
```
data_Nb2TcSe2
_chemical_formula_sum 'Nb4 Tc2 Se4'
_space_group_name_H-M_alt 'P 4/m b m'
_space_group_IT_number 127
_space_group_name_Hall '-P 4 2ab'
_cell_length_a 7.1968
_cell_length_b 7.1968
_cell_length_c 3.3897
_cell_angle_alpha 90.00
_cell_angle_beta 90.00
_cell_angle_gamma 90.00
loop_
_atom_site_label
_atom_site_type_symbol
_atom_site_fract_x
_atom_site_fract_y
_atom_site_fract_z
_atom_site_occupancy
Nb1 Nb 0.1512 0.3488 0.0000 1
Tc1 Tc 0.0000 0.0000 0.0000 1
Se1 Se 0.1488 0.6488 0.5000 1
```

Computed properties:
Uncorrected formation energy = 0.104 eV per atom

(7)
Below is BaPmPr2Tl4 after structural relaxation, with properties calculated at the PBE level.

Geometry as CIF:
```
data_BaPmPr2Tl4
_chemical_formula_sum 'Ba3 Pm3 Pr6 Tl12'
_space_group_name_H-M_alt 'R -3 m'
_space_group_IT_number 166
_space_group_name_Hall '-R 3 2"'
_cell_length_a 5.6574
_cell_length_b 5.6574
_cell_length_c 27.8931
_cell_angle_alpha 90.00
_cell_angle_beta 90.00
_cell_angle_gamma 120.00
loop_
_atom_site_label
_atom_site_type_symbol
_atom_site_fract_x
_atom_site_fract_y
_atom_site_fract_z
_atom_site_occupancy
Ba1 Ba 0.0000 0.0000 0.0000 1
Pm1 Pm 0.0000 0.0000 0.5000 1
Pr1 Pr 0.0000 0.0000 0.2513 1
Tl1 Tl 0.0000 0.0000 0.1293 1
Tl2 Tl 0.0000 0.0000 0.3820 1
```

Computed properties:
Calculated formation energy = -0.331 eV/atom

(8)
Below is Pm4PSI2 after structural relaxation, with properties calculated at the PBE level.

Geometry as CIF:
```
data_Pm4PSI2
_chemical_formula_sum 'Pm4 P1 S1 I2'
_space_group_name_H-M_alt 'P 1 2/m 1'
_space_group_IT_number 10
_space_group_name_Hall '-P 2y'
_cell_length_a 7.1925
_cell_length_b 4.1937
_cell_length_c 7.9650
_cell_angle_alpha 90.00
_cell_angle_beta 107.81
_cell_angle_gamma 90.00
loop_
_atom_site_label
_atom_site_type_symbol
_atom_site_fract_x
_atom_site_fract_y
_atom_site_fract_z
_atom_site_occupancy
Pm1 Pm 0.2259 0.0000 0.1836 1
Pm2 Pm 0.2701 0.5000 0.8143 1
P1 P 0.5000 0.0000 0.0000 1
S1 S 0.0000 0.5000 0.0000 1
I1 I 0.0000 0.0000 0.5000 1
I2 I 0.5000 0.5000 0.5000 1
```

Computed properties:
Uncorrected formation energy = -1.415 eV per atom

(9)
Below is LiBe2Fe after structural relaxation, with properties calculated at the PBE level.

Geometry as CIF:
```
data_LiBe2Fe
_chemical_formula_sum 'Li2 Be4 Fe2'
_space_group_name_H-M_alt 'C m m 2'
_space_group_IT_number 35
_space_group_name_Hall 'C 2 -2'
_cell_length_a 2.9995
_cell_length_b 3.5929
_cell_length_c 7.5536
_cell_angle_alpha 90.00
_cell_angle_beta 90.00
_cell_angle_gamma 90.00
loop_
_atom_site_label
_atom_site_type_symbol
_atom_site_fract_x
_atom_site_fract_y
_atom_site_fract_z
_atom_site_occupancy
Li1 Li 0.0000 0.0000 0.0000 1
Be1 Be 0.0000 0.0000 0.5088 1
Be2 Be 0.0000 0.5000 0.7241 1
Fe1 Fe 0.0000 0.5000 0.2820 1
```

Computed properties:
Calculated formation energy = 0.141 eV/atom

(10)
Below is NiMoP2 after structural relaxation, with properties calculated at the PBE level.

Geometry as CIF:
```
data_NiMoP2
_chemical_formula_sum 'Ni2 Mo2 P4'
_space_group_name_H-M_alt 'C 1 2/m 1'
_space_group_IT_number 12
_space_group_name_Hall '-C 2y'
_cell_length_a 5.6603
_cell_length_b 7.7502
_cell_length_c 2.8758
_cell_angle_alpha 90.00
_cell_angle_beta 119.61
_cell_angle_gamma 90.00
loop_
_atom_site_label
_atom_site_type_symbol
_atom_site_fract_x
_atom_site_fract_y
_atom_site_fract_z
_atom_site_occupancy
Ni1 Ni 0.0000 0.0000 0.0000 1
Mo1 Mo 0.0000 0.5000 0.0000 1
P1 P 0.2500 0.2500 0.0000 1
```

Computed properties:
Calculated formation energy = 0.091 eV/atom

(11)
Below is BaNa2Sr4 after structural relaxation, with properties calculated at the PBE level.

Geometry as CIF:
```
data_BaNa2Sr4
_chemical_formula_sum 'Ba2 Na4 Sr8'
_space_group_name_H-M_alt 'C m m m'
_space_group_IT_number 65
_space_group_name_Hall '-C 2 2'
_cell_length_a 6.7795
_cell_length_b 25.2762
_cell_length_c 4.2760
_cell_angle_alpha 90.00
_cell_angle_beta 90.00
_cell_angle_gamma 90.00
loop_
_atom_site_label
_atom_site_type_symbol
_atom_site_fract_x
_atom_site_fract_y
_atom_site_fract_z
_atom_site_occupancy
Ba1 Ba 0.0000 0.0000 0.0000 1
Na1 Na 0.0000 0.4325 0.5000 1
Sr1 Sr 0.0000 0.1524 0.5000 1
Sr2 Sr 0.0000 0.2983 0.0000 1
```

Computed properties:
Calculated formation energy = 0.026 eV/atom

(12)
Below is Ce2AlHg after structural relaxation, with properties calculated at the PBE level.

Geometry as CIF:
```
data_Ce2AlHg
_chemical_formula_sum 'Ce2 Al1 Hg1'
_space_group_name_H-M_alt 'P 4/m m m'
_space_group_IT_number 123
_space_group_name_Hall '-P 4 2'
_cell_length_a 3.2265
_cell_length_b 3.2265
_cell_length_c 9.2360
_cell_angle_alpha 90.00
_cell_angle_beta 90.00
_cell_angle_gamma 90.00
loop_
_atom_site_label
_atom_site_type_symbol
_atom_site_fract_x
_atom_site_fract_y
_atom_site_fract_z
_atom_site_occupancy
Ce1 Ce 0.0000 0.0000 0.2370 1
Al1 Al 0.5000 0.5000 0.0000 1
Hg1 Hg 0.5000 0.5000 0.5000 1
```

Computed properties:
Calculated formation energy = -0.320 eV/atom

Q: What is the formula in the first record?
A: MnHg2S